No. 1
The following is a DFT calculation (PBE-GGA) of a relaxed structure of NdSmHo3Tm.

```
data_NdSmHo3Tm
_chemical_formula_sum 'Nd4 Sm4 Ho12 Tm4'
_symmetry_space_group_name_H-M 'C m c m'
_symmetry_Int_Tables_number 63
_symmetry_space_group_name_Hall '-C 2c 2'
_cell_length_a 5.870
_cell_length_b 11.190
_cell_length_c 11.750
_cell_angle_alpha 90.00
_cell_angle_beta 90.00
_cell_angle_gamma 90.00
loop_
_atom_site_label
_atom_site_fract_x
_atom_site_fract_y
_atom_site_fract_z
_atom_site_occupancy
Nd1 0.000 0.000 0.000 1
Sm1 0.000 0.497 0.250 1
Ho1 0.000 0.174 0.250 1
Ho2 0.000 0.328 0.503 1
Tm1 0.000 0.170 0.750 1
```

- total moment (μB per atom) = 0.0000
- ΔH_f (0 K) (eV/f.u.) = 0.71
- E_tot (eV/atom) = -4.498

No. 2
The following is a DFT calculation (PBE-GGA) of a relaxed structure of NdSm2Ho4Tm2.

```
data_NdSm2Ho4Tm2
_chemical_formula_sum 'Nd2 Sm4 Ho8 Tm4'
_symmetry_space_group_name_H-M 'C 1 2/m 1'
_symmetry_Int_Tables_number 12
_symmetry_space_group_name_Hall '-C 2y'
_cell_length_a 18.593
_cell_length_b 3.593
_cell_length_c 9.530
_cell_angle_alpha 90.00
_cell_angle_beta 115.66
_cell_angle_gamma 90.00
loop_
_atom_site_label
_atom_site_fract_x
_atom_site_fract_y
_atom_site_fract_z
_atom_site_occupancy
Nd1 0.000 0.000 0.000 1
Sm1 0.148 0.000 0.667 1
Ho1 0.019 0.500 0.334 1
Ho2 0.185 0.000 0.334 1
Tm1 0.168 0.500 0.003 1
```

- total moment (μB per atom) = 0.0000
- ΔH_f (0 K) (eV/f.u.) = 0.06
- E_tot (eV/atom) = -4.600

No. 3
The following is a DFT calculation (PBE-GGA) of a relaxed structure of NdSm6Ho2Tm3.

```
data_NdSm6Ho2Tm3
_chemical_formula_sum 'Nd2 Sm12 Ho4 Tm6'
_symmetry_space_group_name_H-M 'C 1 2/m 1'
_symmetry_Int_Tables_number 12
_symmetry_space_group_name_Hall '-C 2y'
_cell_length_a 6.210
_cell_length_b 10.752
_cell_length_c 11.806
_cell_angle_alpha 90.00
_cell_angle_beta 100.06
_cell_angle_gamma 90.00
loop_
_atom_site_label
_atom_site_fract_x
_atom_site_fract_y
_atom_site_fract_z
_atom_site_occupancy
Nd1 0.000 0.000 0.000 1
Sm1 0.248 0.333 0.747 1
Sm2 0.249 0.000 0.747 1
Ho1 0.000 0.333 0.000 1
Tm1 0.000 0.167 0.500 1
Tm2 0.000 0.500 0.500 1
```

- total moment (μB per atom) = 0.0000
- ΔH_f (0 K) (eV/f.u.) = 0.21
- E_tot (eV/atom) = -4.620

No. 4
The following is a DFT calculation (PBE-GGA) of a relaxed structure of Nd2SmHo2Tm.

```
data_Nd2SmHo2Tm
_chemical_formula_sum 'Nd4 Sm2 Ho4 Tm2'
_symmetry_space_group_name_H-M 'P n n m'
_symmetry_Int_Tables_number 58
_symmetry_space_group_name_Hall '-P 2 2n'
_cell_length_a 6.120
_cell_length_b 18.350
_cell_length_c 3.553
_cell_angle_alpha 90.00
_cell_angle_beta 90.00
_cell_angle_gamma 90.00
loop_
_atom_site_label
_atom_site_fract_x
_atom_site_fract_y
_atom_site_fract_z
_atom_site_occupancy
Nd1 0.165 0.156 0.000 1
Sm1 0.000 0.500 0.500 1
Ho1 0.163 0.344 0.000 1
Tm1 0.000 0.000 0.500 1
```

- total moment (μB per atom) = 0.0000
- ΔH_f (0 K) (eV/f.u.) = 0.61
- E_tot (eV/atom) = -4.546

No. 5
The following is a DFT calculation (PBE-GGA) of a relaxed structure of Nd2SmHoTm.

```
data_Nd2SmHoTm
_chemical_formula_sum 'Nd4 Sm2 Ho2 Tm2'
_symmetry_space_group_name_H-M 'P 1 2/c 1'
_symmetry_Int_Tables_number 13
_symmetry_space_group_name_Hall '-P 2yc'
_cell_length_a 8.158
_cell_length_b 6.777
_cell_length_c 6.172
_cell_angle_alpha 90.00
_cell_angle_beta 90.09
_cell_angle_gamma 90.00
loop_
_atom_site_label
_atom_site_fract_x
_atom_site_fract_y
_atom_site_fract_z
_atom_site_occupancy
Nd1 0.197 0.191 0.251 1
Sm1 0.500 0.500 0.000 1
Ho1 0.000 0.343 0.750 1
Tm1 0.500 0.084 0.750 1
```

- total moment (μB per atom) = 0.0000
- ΔH_f (0 K) (eV/f.u.) = 1.35
- E_tot (eV/atom) = -4.390

No. 6
The following is a DFT calculation (PBE-GGA) of a relaxed structure of NdSm3HoTm.

```
data_NdSm3HoTm
_chemical_formula_sum 'Nd4 Sm12 Ho4 Tm4'
_symmetry_space_group_name_H-M 'C m c m'
_symmetry_Int_Tables_number 63
_symmetry_space_group_name_Hall '-C 2c 2'
_cell_length_a 5.795
_cell_length_b 11.670
_cell_length_c 11.718
_cell_angle_alpha 90.00
_cell_angle_beta 90.00
_cell_angle_gamma 90.00
loop_
_atom_site_label
_atom_site_fract_x
_atom_site_fract_y
_atom_site_fract_z
_atom_site_occupancy
Nd1 0.000 0.028 0.250 1
Sm1 0.000 0.174 0.536 1
Sm2 0.000 0.370 0.750 1
Ho1 0.000 0.500 0.000 1
Tm1 0.000 0.328 0.250 1
```

- total moment (μB per atom) = 0.0000
- ΔH_f (0 K) (eV/f.u.) = 0.71
- E_tot (eV/atom) = -4.545

No. 7
The following is a DFT calculation (PBE-GGA) of a relaxed structure of Nd5Sm2HoTm.

```
data_Nd5Sm2HoTm
_chemical_formula_sum 'Nd20 Sm8 Ho4 Tm4'
_symmetry_space_group_name_H-M 'I 4/m c m'
_symmetry_Int_Tables_number 140
_symmetry_space_group_name_Hall '-I 4 2c'
_cell_length_a 8.571
_cell_length_b 8.571
_cell_length_c 16.883
_cell_angle_alpha 90.00
_cell_angle_beta 90.00
_cell_angle_gamma 90.00
loop_
_atom_site_label
_atom_site_fract_x
_atom_site_fract_y
_atom_site_fract_z
_atom_site_occupancy
Nd1 0.000 0.000 0.000 1
Nd2 0.218 0.282 0.143 1
Sm1 0.122 0.378 0.500 1
Ho1 0.000 0.000 0.250 1
Tm1 0.000 0.500 0.250 1
```

- total moment (μB per atom) = 0.0000
- ΔH_f (0 K) (eV/f.u.) = 2.58
- E_tot (eV/atom) = -4.416

No. 8
The following is a DFT calculation (PBE-GGA) of a relaxed structure of NdSm2Ho2Tm.

```
data_NdSm2Ho2Tm
_chemical_formula_sum 'Nd2 Sm4 Ho4 Tm2'
_symmetry_space_group_name_H-M 'P n n m'
_symmetry_Int_Tables_number 58
_symmetry_space_group_name_Hall '-P 2 2n'
_cell_length_a 6.093
_cell_length_b 18.299
_cell_length_c 3.548
_cell_angle_alpha 90.00
_cell_angle_beta 90.00
_cell_angle_gamma 90.00
loop_
_atom_site_label
_atom_site_fract_x
_atom_site_fract_y
_atom_site_fract_z
_atom_site_occupancy
Nd1 0.000 0.000 0.000 1
Sm1 0.164 0.344 0.500 1
Ho1 0.164 0.157 0.500 1
Tm1 0.000 0.500 0.000 1
```

- total moment (μB per atom) = 0.0000
- ΔH_f (0 K) (eV/f.u.) = 0.63
- E_tot (eV/atom) = -4.534

No. 9
The following is a DFT calculation (PBE-GGA) of a relaxed structure of Nd4Sm2HoTm2.

```
data_Nd4Sm2HoTm2
_chemical_formula_sum 'Nd8 Sm4 Ho2 Tm4'
_symmetry_space_group_name_H-M 'C 1 2/m 1'
_symmetry_Int_Tables_number 12
_symmetry_space_group_name_Hall '-C 2y'
_cell_length_a 15.353
_cell_length_b 5.113
_cell_length_c 8.044
_cell_angle_alpha 90.00
_cell_angle_beta 108.57
_cell_angle_gamma 90.00
loop_
_atom_site_label
_atom_site_fract_x
_atom_site_fract_y
_atom_site_fract_z
_atom_site_occupancy
Nd1 0.055 0.000 0.330 1
Nd2 0.222 0.500 0.330 1
Sm1 0.112 0.500 0.670 1
Ho1 0.000 0.500 0.000 1
Tm1 0.167 0.000 0.000 1
```

- total moment (μB per atom) = 0.0000
- ΔH_f (0 K) (eV/f.u.) = 0.21
- E_tot (eV/atom) = -4.647

No. 10
The following is a DFT calculation (PBE-GGA) of a relaxed structure of NdSmHo2Tm2.

```
data_NdSmHo2Tm2
_chemical_formula_sum 'Nd2 Sm2 Ho4 Tm4'
_symmetry_space_group_name_H-M 'P n n m'
_symmetry_Int_Tables_number 58
_symmetry_space_group_name_Hall '-P 2 2n'
_cell_length_a 6.535
_cell_length_b 17.767
_cell_length_c 3.391
_cell_angle_alpha 90.00
_cell_angle_beta 90.00
_cell_angle_gamma 90.00
loop_
_atom_site_label
_atom_site_fract_x
_atom_site_fract_y
_atom_site_fract_z
_atom_site_occupancy
Nd1 0.000 0.000 0.000 1
Sm1 0.000 0.500 0.000 1
Ho1 0.224 0.186 0.000 1
Tm1 0.223 0.351 0.500 1
```

- total moment (μB per atom) = 0.0000
- ΔH_f (0 K) (eV/f.u.) = 1.70
- E_tot (eV/atom) = -4.315

Q: What is the formula in the ninth record?
A: Nd4Sm2HoTm2

Q: E_tot of number 2 (NdSm2Ho4Tm2)?
A: -4.600 eV/atom

Q: Among the records above, which one has the highest ΔH_f (0 K)?
A: Nd5Sm2HoTm

Copy entry 1 word for word.
The following is a DFT calculation (PBE-GGA) of a relaxed structure of NdSmHo3Tm.

```
data_NdSmHo3Tm
_chemical_formula_sum 'Nd4 Sm4 Ho12 Tm4'
_symmetry_space_group_name_H-M 'C m c m'
_symmetry_Int_Tables_number 63
_symmetry_space_group_name_Hall '-C 2c 2'
_cell_length_a 5.870
_cell_length_b 11.190
_cell_length_c 11.750
_cell_angle_alpha 90.00
_cell_angle_beta 90.00
_cell_angle_gamma 90.00
loop_
_atom_site_label
_atom_site_fract_x
_atom_site_fract_y
_atom_site_fract_z
_atom_site_occupancy
Nd1 0.000 0.000 0.000 1
Sm1 0.000 0.497 0.250 1
Ho1 0.000 0.174 0.250 1
Ho2 0.000 0.328 0.503 1
Tm1 0.000 0.170 0.750 1
```

- total moment (μB per atom) = 0.0000
- ΔH_f (0 K) (eV/f.u.) = 0.71
- E_tot (eV/atom) = -4.498